The following is a DFT calculation (PBE) of a relaxed Sr2CdIn crystal.

The structure in CIF format:
```
data_Sr2CdIn
_space_group_name_H-M_alt 'F m m m'
_space_group_IT_number 69
_space_group_name_Hall '-F 2 2'
_cell_length_a 8.1618
_cell_length_b 8.1727
_cell_length_c 8.2125
_cell_angle_alpha 90.00
_cell_angle_beta 90.00
_cell_angle_gamma 90.00
loop_
_atom_site_label
_atom_site_fract_x
_atom_site_fract_y
_atom_site_fract_z
_atom_site_occupancy
Sr1 0.2500 0.2500 0.2500 1
Cd1 0.0000 0.0000 0.0000 1
In1 0.0000 0.0000 0.5000 1
```

## Properties
Theoretical density, kg/m3: 4880
V, Å³ per cell: 547.8
Excess energy over the best structure of this formula in the dataset, meV/atom: 0